1.
Ce2TcRu: relaxed, PBE.

a = 3.465 Å, b = 3.465 Å, c = 6.860 Å
α = 90.00°, β = 90.00°, γ = 90.00°
Space group P4/mmm (No. 123)
Symmetry-distinct sites (fractional):
Ce 0.000 0.000 0.250
Tc 0.500 0.500 0.000
Ru 0.500 0.500 0.500

Calculated values
Volume ... 20.59 Å³/atom
ΔE_f ... -0.15 eV/atom
Size of the total moment ... 0.0 μB per formula unit
Fermi-level density of states ... 2.37 states/eV/f.u.

=====

2.
Li2Ac3S4O2: relaxed, PBE.

a = 4.688 Å, b = 4.688 Å, c = 21.776 Å
α = 90.00°, β = 90.00°, γ = 90.00°
Space group I4/mmm (No. 139)
Symmetry-distinct sites (fractional):
Li 0.000 0.000 0.126
Ac 0.000 0.000 0.317
Ac 0.000 0.000 0.500
S 0.000 0.500 0.090
O 0.000 0.000 0.214

Calculated values
Volume ... 21.76 Å³/atom
Calculated total energy ... -128.1 eV for the cell shown
Size of the total moment ... 0.0 μB per formula unit
Fermi-level density of states ... 1.90 states/eV/f.u.

=====

3.
KPbNO2: relaxed, PBE.

a = 4.803 Å, b = 4.803 Å, c = 4.737 Å
α = 90.00°, β = 90.00°, γ = 90.00°
Space group P4/mmm (No. 123)
Symmetry-distinct sites (fractional):
K 0.000 0.000 0.000
Pb 0.500 0.500 0.500
N 0.000 0.000 0.500
O 0.000 0.500 0.000

Calculated values
Volume ... 21.85 Å³/atom
Calculated total energy ... -17.8 eV for the cell shown
Size of the total moment ... 4.0 μB per formula unit
Fermi-level density of states ... 2.56 states/eV/f.u.

=====

4.
LiAlCoP2: relaxed, PBE.

a = 4.662 Å, b = 4.662 Å, c = 4.486 Å
α = 90.00°, β = 90.00°, γ = 90.00°
Space group P4/mmm (No. 123)
Symmetry-distinct sites (fractional):
Li 0.000 0.000 0.000
Al 0.500 0.500 0.500
Co 0.500 0.500 0.000
P 0.000 0.500 0.500

Calculated values
Volume ... 19.50 Å³/atom
ΔE_f ... 0.64 eV/atom
Size of the total moment ... 1.7 μB per formula unit
Fermi-level density of states ... 5.43 states/eV/f.u.

=====

Copy entry 3 word for word.
KPbNO2: relaxed, PBE.

a = 4.803 Å, b = 4.803 Å, c = 4.737 Å
α = 90.00°, β = 90.00°, γ = 90.00°
Space group P4/mmm (No. 123)
Symmetry-distinct sites (fractional):
K 0.000 0.000 0.000
Pb 0.500 0.500 0.500
N 0.000 0.000 0.500
O 0.000 0.500 0.000

Calculated values
Volume ... 21.85 Å³/atom
Calculated total energy ... -17.8 eV for the cell shown
Size of the total moment ... 4.0 μB per formula unit
Fermi-level density of states ... 2.56 states/eV/f.u.